{
  "formula": "SiNiCl2",
  "functional": "PBE",
  "state": "relaxed",
  "e_tot_ev_per_atom": -4.1331,
  "raw_formation_energy_ev_per_atom": -0.409,
  "lattice_angstrom": [[-7.321, 0.304, -4.198], [-5.705, -2.051, -5.878], [-7.332, -2.821, -3.096]],
  "species": ["Ni", "Cl", "Cl", "Si"],
  "fractional_positions": [[0.486, 0.486, 0.486], [0.211, 0.211, 0.211], [0.032, 0.032, 0.032], [0.770, 0.770, 0.770]]
}

{
  "formula": "GaWCl2",
  "functional": "PBE",
  "state": "relaxed",
  "e_tot_ev_per_atom": -4.6871,
  "dos_at_fermi_per_ev_cell": 5.09,
  "raw_formation_energy_ev_per_atom": 0.231,
  "lattice_angstrom": [[8.500, 0.000, 0.000], [0.000, 8.500, 0.000], [4.250, 4.250, 2.622]],
  "species": ["Cl", "Ga", "W", "Ga", "Cl", "Cl", "Cl", "W"],
  "fractional_positions": [[0.875, 0.018, 0.750], [0.250, 0.750, 0.500], [0.000, 0.000, 0.000], [0.500, 0.500, 0.000], [0.768, 0.125, 0.250], [0.982, 0.625, 0.250], [0.375, 0.232, 0.750], [0.750, 0.250, 0.500]]
}